The following is a DFT calculation (PBE) of crystalline BaCoS2 at its relaxed geometry.

Lattice parameters (Å, degrees): 4.995 4.995 4.995 60.00 60.00 60.00
Each line ends with the local moment (μB).
Fractional coordinates of all 4 atoms:
S  0.250  0.250  0.250  0.22
S  0.750  0.750  0.750  0.22
Co  0.000  0.000  0.000  2.31
Ba  0.500  0.500  0.500  0.02

Summary:
uncorrected formation energy: -0.389 eV per atom
DOS(E_F): 0.07 states/eV/cell
E: -4.710 eV per atom
total magnetic moment: 3.00 Bohr magnetons per cell